Record 1
Tm4InRu2Au after structural relaxation. Source: Alexandria, functional PBE.

Summary:
DFT total energy = -46.506 eV for the cell shown
Space group = R-3m
Crystal system = trigonal

Cell: 8.549 8.549 8.549 Å, 33.57 33.57 33.57°
Positions (direct):
1 Tm 0.122 0.122 0.122
2 Tm 0.372 0.372 0.372
3 Tm 0.628 0.628 0.628
4 Tm 0.878 0.878 0.878
5 In 0.500 0.500 0.500
6 Ru 0.248 0.248 0.248
7 Ru 0.752 0.752 0.752
8 Au 0.000 0.000 0.000

***

Record 2
RbGe2Pd2 after structural relaxation. Source: Alexandria, functional PBE.

Summary:
DFT total energy = -42.195 eV for the cell shown
Space group = P4/mbm
Crystal system = tetragonal

Cell: 8.408 8.408 3.031 Å, 90.00 90.00 90.00°
Positions (direct):
1 Rb 0.000 0.000 0.000
2 Rb 0.500 0.500 0.000
3 Ge 0.125 0.375 0.000
4 Ge 0.375 0.875 0.000
5 Ge 0.625 0.125 0.000
6 Ge 0.875 0.625 0.000
7 Pd 0.131 0.631 0.500
8 Pd 0.369 0.131 0.500
9 Pd 0.631 0.869 0.500
10 Pd 0.869 0.369 0.500

***

Record 3
BaP2Rh after structural relaxation. Source: Alexandria, functional PBE.

Summary:
DFT total energy = -18.773 eV for the cell shown
Space group = P4/mmm
Crystal system = tetragonal

Cell: 5.116 5.116 3.190 Å, 90.00 90.00 90.00°
Positions (direct):
1 Ba 0.000 0.000 0.000
2 P 0.000 0.500 0.500
3 P 0.500 0.000 0.500
4 Rh 0.500 0.500 0.000

***

Record 4
Tm3Ga5Cu6 after structural relaxation. Source: Alexandria, functional PBE.

Summary:
DFT total energy = -118.044 eV for the cell shown
Space group = Pmmn
Crystal system = orthorhombic

Cell: 4.143 12.213 9.151 Å, 90.00 90.00 90.00°
Positions (direct):
1 Tm 0.250 0.055 0.246
2 Tm 0.250 0.445 0.246
3 Tm 0.250 0.750 0.259
4 Tm 0.750 0.250 0.741
5 Tm 0.750 0.555 0.754
6 Tm 0.750 0.945 0.754
7 Ga 0.250 0.079 0.601
8 Ga 0.250 0.421 0.601
9 Ga 0.250 0.612 0.983
10 Ga 0.250 0.750 0.755
11 Ga 0.250 0.888 0.983
12 Ga 0.750 0.112 0.017
13 Ga 0.750 0.250 0.245
14 Ga 0.750 0.388 0.017
15 Ga 0.750 0.579 0.399
16 Ga 0.750 0.921 0.399
17 Cu 0.250 0.088 0.873
18 Cu 0.250 0.250 0.045
19 Cu 0.250 0.250 0.446
20 Cu 0.250 0.412 0.873
21 Cu 0.250 0.627 0.534
22 Cu 0.250 0.873 0.534
23 Cu 0.750 0.127 0.466
24 Cu 0.750 0.373 0.466
25 Cu 0.750 0.588 0.127
26 Cu 0.750 0.750 0.554
27 Cu 0.750 0.750 0.955
28 Cu 0.750 0.912 0.127

***

Record 5
TmAl2CuAu4 after structural relaxation. Source: Alexandria, functional PBE.

Summary:
DFT total energy = -33.007 eV for the cell shown
Space group = R-3m
Crystal system = trigonal

Cell: 8.791 8.791 8.791 Å, 29.31 29.31 29.31°
Positions (direct):
1 Tm 0.000 0.000 0.000
2 Al 0.241 0.241 0.241
3 Al 0.759 0.759 0.759
4 Cu 0.500 0.500 0.500
5 Au 0.130 0.130 0.130
6 Au 0.394 0.394 0.394
7 Au 0.606 0.606 0.606
8 Au 0.870 0.870 0.870

***

Record 6
CaSe2N2 after structural relaxation. Source: Alexandria, functional PBE.

Summary:
DFT total energy = -22.202 eV for the cell shown
Space group = P4/mmm
Crystal system = tetragonal
Formation energy from raw total energies = 330 kJ/mol of formula units

Cell: 4.012 4.012 5.407 Å, 90.00 90.00 90.00°
Positions (direct):
1 Ca 0.000 0.000 0.000
2 Se 0.500 0.500 0.000
3 Se 0.500 0.500 0.500
4 N 0.000 0.500 0.500
5 N 0.500 0.000 0.500

***

Record 7
LiFe2Re2 after structural relaxation. Source: Alexandria, functional PBE.

Summary:
DFT total energy = -85.316 eV for the cell shown
Space group = P4/mbm
Crystal system = tetragonal

Cell: 7.178 7.178 2.635 Å, 90.00 90.00 90.00°
Positions (direct):
1 Li 0.000 0.000 0.000
2 Li 0.500 0.500 0.000
3 Fe 0.127 0.373 0.000
4 Fe 0.373 0.873 0.000
5 Fe 0.627 0.127 0.000
6 Fe 0.873 0.627 0.000
7 Re 0.164 0.664 0.500
8 Re 0.336 0.164 0.500
9 Re 0.664 0.836 0.500
10 Re 0.836 0.336 0.500

***

Record 8
CePr3Rh8 after structural relaxation. Source: Alexandria, functional PBE.

Summary:
DFT total energy = -86.902 eV for the cell shown
Space group = R3m
Crystal system = trigonal

Cell: 9.376 9.376 9.376 Å, 33.60 33.60 33.60°
Positions (direct):
1 Ce 0.000 0.000 0.000
2 Pr 0.125 0.125 0.125
3 Pr 0.500 0.500 0.500
4 Pr 0.625 0.625 0.625
5 Rh 0.060 0.562 0.562
6 Rh 0.063 0.063 0.566
7 Rh 0.063 0.566 0.063
8 Rh 0.313 0.313 0.313
9 Rh 0.562 0.060 0.562
10 Rh 0.562 0.562 0.060
11 Rh 0.566 0.063 0.063
12 Rh 0.813 0.813 0.813

***

Record 9
Be3TcP after structural relaxation. Source: Alexandria, functional PBE.

Summary:
DFT total energy = -22.447 eV for the cell shown
Space group = Pm-3m
Crystal system = cubic

Cell: 3.992 3.992 3.992 Å, 90.00 90.00 90.00°
Positions (direct):
1 Be 0.000 0.000 0.500
2 Be 0.000 0.500 0.000
3 Be 0.500 0.000 0.000
4 Tc 0.500 0.500 0.500
5 P 0.000 0.000 0.000

***

Record 10
KCdMo4 after structural relaxation. Source: Alexandria, functional PBE.

Summary:
DFT total energy = -39.315 eV for the cell shown
Space group = F-43m
Crystal system = cubic

Cell: 5.476 5.476 5.476 Å, 60.00 60.00 60.00°
Positions (direct):
1 K 0.000 0.000 0.000
2 Cd 0.250 0.250 0.250
3 Mo 0.122 0.626 0.626
4 Mo 0.626 0.122 0.626
5 Mo 0.626 0.626 0.122
6 Mo 0.626 0.626 0.626

***

Record 11
SrMgTl2Bi2 after structural relaxation. Source: Alexandria, functional PBE.

Summary:
DFT total energy = -35.853 eV for the cell shown
Space group = Pmc2_1
Crystal system = orthorhombic

Cell: 5.064 10.084 8.023 Å, 90.00 90.00 90.00°
Positions (direct):
1 Sr 0.000 0.053 0.000
2 Sr 0.000 0.947 0.500
3 Mg 0.500 0.180 0.653
4 Mg 0.500 0.820 0.153
5 Tl 0.000 0.337 0.336
6 Tl 0.000 0.663 0.836
7 Tl 0.500 0.407 0.026
8 Tl 0.500 0.593 0.526
9 Bi 0.000 0.322 0.742
10 Bi 0.000 0.678 0.242
11 Bi 0.500 0.111 0.279
12 Bi 0.500 0.889 0.779

***

Record 12
KScPb2 after structural relaxation. Source: Alexandria, functional PBE.

Summary:
DFT total energy = -14.954 eV for the cell shown
Space group = Fm-3m
Crystal system = cubic

Cell: 5.501 5.501 5.501 Å, 60.00 60.00 60.00°
Positions (direct):
1 K 0.000 0.000 0.000
2 Sc 0.500 0.500 0.500
3 Pb 0.250 0.250 0.250
4 Pb 0.750 0.750 0.750

***

Record 13
TcSbH2 after structural relaxation. Source: Alexandria, functional PBE.

Summary:
DFT total energy = -20.131 eV for the cell shown
Space group = P1
Crystal system = triclinic

Cell: 3.124 3.127 6.275 Å, 75.78 89.87 60.06°
Positions (direct):
1 Tc 0.000 0.000 0.000
2 Sb 0.557 0.889 0.658
3 H 0.089 0.819 0.278
4 H 0.706 0.586 0.122

***

Record 14
LiAcTb after structural relaxation. Source: Alexandria, functional PBE.

Summary:
DFT total energy = -10.198 eV for the cell shown
Space group = P3m1
Crystal system = trigonal

Cell: 3.717 3.717 8.548 Å, 90.00 90.00 120.00°
Positions (direct):
1 Li 0.000 0.000 0.000
2 Ac 0.667 0.333 0.339
3 Tb 0.333 0.667 0.690

***

Record 15
KMnBe2 after structural relaxation. Source: Alexandria, functional PBE.

Summary:
DFT total energy = -14.895 eV for the cell shown
Space group = P4mm
Crystal system = tetragonal

Cell: 2.833 2.833 8.171 Å, 90.00 90.00 90.00°
Positions (direct):
1 K 0.000 0.000 0.000
2 Mn 0.500 0.500 0.374
3 Be 0.000 0.000 0.546
4 Be 0.500 0.500 0.668

***

Record 16
Y2NiCl after structural relaxation. Source: Alexandria, functional PBE.

Summary:
DFT total energy = -22.822 eV for the cell shown
Space group = Pmmm
Crystal system = orthorhombic
Formation energy from raw total energies = -219 kJ/mol of formula units

Cell: 3.299 4.636 5.517 Å, 90.00 90.00 90.00°
Positions (direct):
1 Y 0.000 0.000 0.000
2 Y 0.000 0.500 0.500
3 Ni 0.500 0.000 0.500
4 Cl 0.500 0.500 0.000

***

Record 17
LaZrNi2P2 after structural relaxation. Source: Alexandria, functional PBE.

Summary:
DFT total energy = -42.647 eV for the cell shown
Space group = P-3m1
Crystal system = trigonal

Cell: 3.882 3.882 7.831 Å, 90.00 90.00 120.00°
Positions (direct):
1 La 0.000 0.000 0.000
2 Zr 0.000 0.000 0.500
3 Ni 0.333 0.667 0.719
4 Ni 0.667 0.333 0.281
5 P 0.333 0.667 0.274
6 P 0.667 0.333 0.726

***

Record 18
CaLa2MgNi after structural relaxation. Source: Alexandria, functional PBE.

Summary:
DFT total energy = -19.641 eV for the cell shown
Space group = P4/mmm
Crystal system = tetragonal

Cell: 5.385 5.385 5.694 Å, 90.00 90.00 90.00°
Positions (direct):
1 Ca 0.000 0.000 0.000
2 La 0.000 0.500 0.500
3 La 0.500 0.000 0.500
4 Mg 0.500 0.500 0.000
5 Ni 0.000 0.000 0.500

***

Record 19
Y5Tl2Ir after structural relaxation. Source: Alexandria, functional PBE.

Summary:
DFT total energy = -48.174 eV for the cell shown
Space group = I4mm
Crystal system = tetragonal

Cell: 6.711 6.711 6.711 Å, 116.04 116.04 97.00°
Positions (direct):
1 Y 0.000 0.000 0.000
2 Y 0.030 0.030 0.513
3 Y 0.030 0.517 0.000
4 Y 0.517 0.030 0.000
5 Y 0.517 0.517 0.487
6 Tl 0.027 0.527 0.500
7 Tl 0.527 0.027 0.500
8 Ir 0.663 0.663 0.000

***

Record 20
CrRePb2 after structural relaxation. Source: Alexandria, functional PBE.

Summary:
DFT total energy = -25.661 eV for the cell shown
Space group = P4/mmm
Crystal system = tetragonal

Cell: 3.464 3.464 6.824 Å, 90.00 90.00 90.00°
Positions (direct):
1 Cr 0.000 0.000 0.000
2 Re 0.000 0.000 0.500
3 Pb 0.500 0.500 0.264
4 Pb 0.500 0.500 0.736

***

Record 21
ErMgCo2H6 after structural relaxation. Source: Alexandria, functional PBE.

Summary:
DFT total energy = -42.861 eV for the cell shown
Space group = R-3m
Crystal system = trigonal

Cell: 5.560 5.560 5.560 Å, 46.10 46.10 46.10°
Positions (direct):
1 Er 0.000 0.000 0.000
2 Mg 0.500 0.500 0.500
3 Co 0.207 0.207 0.207
4 Co 0.793 0.793 0.793
5 H 0.048 0.570 0.570
6 H 0.430 0.430 0.952
7 H 0.430 0.952 0.430
8 H 0.570 0.048 0.570
9 H 0.570 0.570 0.048
10 H 0.952 0.430 0.430

***

Record 22
CaPr7Ho4 after structural relaxation. Source: Alexandria, functional PBE.

Summary:
DFT total energy = -53.371 eV for the cell shown
Space group = P-1
Crystal system = triclinic

Cell: 6.324 7.332 9.693 Å, 78.97 71.05 89.98°
Positions (direct):
1 Ca 0.000 0.000 0.000
2 Pr 0.000 0.500 0.000
3 Pr 0.001 0.662 0.339
4 Pr 0.492 0.915 0.340
5 Pr 0.497 0.258 0.002
6 Pr 0.503 0.742 0.998
7 Pr 0.508 0.085 0.660
8 Pr 0.999 0.338 0.661
9 Ho 0.003 0.169 0.338
10 Ho 0.499 0.585 0.665
11 Ho 0.501 0.415 0.335
12 Ho 0.997 0.831 0.662